Entry 1:
A plane-wave DFT calculation with GGA-PBE was carried out for crystalline MgZrTe4 at its relaxed geometry.

Cell and atoms, written as CIF:
```
data_MgZrTe4
_symmetry_space_group_name_H-M 'P 1'
_symmetry_Int_Tables_number 1
_cell_length_a 6.276
_cell_length_b 6.276
_cell_length_c 6.276
_cell_angle_alpha 60.00
_cell_angle_beta 60.00
_cell_angle_gamma 60.00
loop_
_symmetry_equiv_pos_as_xyz
'x,y,z'
loop_
_atom_site_label
_atom_site_fract_x
_atom_site_fract_y
_atom_site_fract_z
Mg1 0.000 0.000 0.000
Zr1 0.250 0.250 0.250
Te1 0.126 0.625 0.625
Te2 0.625 0.126 0.625
Te3 0.625 0.625 0.126
Te4 0.625 0.625 0.625
```

As for the density of states at the Fermi level: 6.625 states/eV/cell. The calculation puts the raw formation energy at 0.493 eV per atom. The calculation puts the uncorrected energy at -19.752 eV/cell.

Entry 2:
A plane-wave DFT calculation with GGA-PBE was carried out for crystalline MgZrTe at its relaxed geometry.

Cell and atoms, written as CIF:
```
data_MgZrTe
_symmetry_space_group_name_H-M 'P 1'
_symmetry_Int_Tables_number 1
_cell_length_a 4.885
_cell_length_b 4.885
_cell_length_c 3.766
_cell_angle_alpha 90.00
_cell_angle_beta 90.00
_cell_angle_gamma 120.00
loop_
_symmetry_equiv_pos_as_xyz
'x,y,z'
loop_
_atom_site_label
_atom_site_fract_x
_atom_site_fract_y
_atom_site_fract_z
Mg1 0.000 0.000 0.000
Zr1 0.333 0.667 0.500
Te1 0.667 0.333 0.500
```

As for the density of states at the Fermi level: 3.400 states/eV/cell. The calculation puts the raw formation energy at -0.098 eV per atom. The calculation puts the uncorrected energy at -13.578 eV/cell.

Entry 3:
A plane-wave DFT calculation with GGA-PBE was carried out for crystalline MgZrTe at its relaxed geometry.

Cell and atoms, written as CIF:
```
data_MgZrTe
_symmetry_space_group_name_H-M 'P 1'
_symmetry_Int_Tables_number 1
_cell_length_a 3.659
_cell_length_b 3.659
_cell_length_c 10.222
_cell_angle_alpha 90.00
_cell_angle_beta 90.00
_cell_angle_gamma 90.00
loop_
_symmetry_equiv_pos_as_xyz
'x,y,z'
loop_
_atom_site_label
_atom_site_fract_x
_atom_site_fract_y
_atom_site_fract_z
Mg1 0.000 0.000 0.000
Mg2 0.500 0.500 0.500
Zr1 0.000 0.000 0.328
Zr2 0.500 0.500 0.828
Te1 0.000 0.000 0.676
Te2 0.500 0.500 0.176
```

As for the density of states at the Fermi level: 5.087 states/eV/cell. The calculation puts the raw formation energy at -0.406 eV per atom. The calculation puts the uncorrected energy at -29.003 eV/cell.

Entry 4:
A plane-wave DFT calculation with GGA-PBE was carried out for crystalline Mg2ZrTe at its relaxed geometry.

Cell and atoms, written as CIF:
```
data_Mg2ZrTe
_symmetry_space_group_name_H-M 'P 1'
_symmetry_Int_Tables_number 1
_cell_length_a 3.605
_cell_length_b 3.605
_cell_length_c 27.534
_cell_angle_alpha 90.00
_cell_angle_beta 90.00
_cell_angle_gamma 120.00
loop_
_symmetry_equiv_pos_as_xyz
'x,y,z'
loop_
_atom_site_label
_atom_site_fract_x
_atom_site_fract_y
_atom_site_fract_z
Mg1 0.000 0.000 0.000
Mg2 0.000 0.000 0.243
Mg3 0.333 0.667 0.667
Mg4 0.333 0.667 0.910
Mg5 0.667 0.333 0.333
Mg6 0.667 0.333 0.576
Zr1 0.000 0.000 0.754
Zr2 0.333 0.667 0.421
Zr3 0.667 0.333 0.087
Te1 0.000 0.000 0.493
Te2 0.333 0.667 0.159
Te3 0.667 0.333 0.826
```

As for the density of states at the Fermi level: 7.172 states/eV/cell. The calculation puts the raw formation energy at -0.171 eV per atom. The calculation puts the uncorrected energy at -46.688 eV/cell.

Entry 5:
A plane-wave DFT calculation with GGA-PBE was carried out for crystalline MgZrTe at its relaxed geometry.

Cell and atoms, written as CIF:
```
data_MgZrTe
_symmetry_space_group_name_H-M 'P 1'
_symmetry_Int_Tables_number 1
_cell_length_a 6.845
_cell_length_b 6.845
_cell_length_c 6.845
_cell_angle_alpha 90.00
_cell_angle_beta 90.00
_cell_angle_gamma 90.00
loop_
_symmetry_equiv_pos_as_xyz
'x,y,z'
loop_
_atom_site_label
_atom_site_fract_x
_atom_site_fract_y
_atom_site_fract_z
Mg1 0.000 0.000 0.000
Mg2 0.000 0.500 0.500
Mg3 0.500 0.000 0.500
Mg4 0.500 0.500 0.000
Zr1 0.000 0.000 0.500
Zr2 0.000 0.500 0.000
Zr3 0.500 0.000 0.000
Zr4 0.500 0.500 0.500
Te1 0.250 0.250 0.750
Te2 0.250 0.750 0.250
Te3 0.750 0.250 0.250
Te4 0.750 0.750 0.750
```

As for the density of states at the Fermi level: 16.300 states/eV/cell. The calculation puts the raw formation energy at 0.098 eV per atom. The calculation puts the uncorrected energy at -51.956 eV/cell.

Entry 6:
A plane-wave DFT calculation with GGA-PBE was carried out for crystalline Mg2ZrTe at its relaxed geometry.

Cell and atoms, written as CIF:
```
data_Mg2ZrTe
_symmetry_space_group_name_H-M 'P 1'
_symmetry_Int_Tables_number 1
_cell_length_a 3.291
_cell_length_b 3.291
_cell_length_c 8.988
_cell_angle_alpha 90.00
_cell_angle_beta 90.00
_cell_angle_gamma 90.00
loop_
_symmetry_equiv_pos_as_xyz
'x,y,z'
loop_
_atom_site_label
_atom_site_fract_x
_atom_site_fract_y
_atom_site_fract_z
Mg1 0.000 0.000 0.243
Mg2 0.000 0.000 0.757
Zr1 0.500 0.500 0.000
Te1 0.500 0.500 0.500
```

As for the density of states at the Fermi level: 3.630 states/eV/cell. The calculation puts the raw formation energy at -0.023 eV per atom. The calculation puts the uncorrected energy at -14.970 eV/cell.

Entry 7:
A plane-wave DFT calculation with GGA-PBE was carried out for crystalline MgZr3Te at its relaxed geometry.

Cell and atoms, written as CIF:
```
data_MgZr3Te
_symmetry_space_group_name_H-M 'P 1'
_symmetry_Int_Tables_number 1
_cell_length_a 5.292
_cell_length_b 5.292
_cell_length_c 5.292
_cell_angle_alpha 90.00
_cell_angle_beta 90.00
_cell_angle_gamma 90.00
loop_
_symmetry_equiv_pos_as_xyz
'x,y,z'
loop_
_atom_site_label
_atom_site_fract_x
_atom_site_fract_y
_atom_site_fract_z
Mg1 0.000 0.000 0.000
Zr1 0.000 0.500 0.500
Zr2 0.500 0.000 0.500
Zr3 0.500 0.500 0.000
Te1 0.500 0.500 0.500
```

As for the density of states at the Fermi level: 3.181 states/eV/cell. The calculation puts the raw formation energy at 0.499 eV per atom. The calculation puts the uncorrected energy at -27.888 eV/cell.

Entry 8:
A plane-wave DFT calculation with GGA-PBE was carried out for crystalline Mg2Zr2Te at its relaxed geometry.

Cell and atoms, written as CIF:
```
data_Mg2Zr2Te
_symmetry_space_group_name_H-M 'P 1'
_symmetry_Int_Tables_number 1
_cell_length_a 3.805
_cell_length_b 3.805
_cell_length_c 16.441
_cell_angle_alpha 90.00
_cell_angle_beta 90.00
_cell_angle_gamma 90.00
loop_
_symmetry_equiv_pos_as_xyz
'x,y,z'
loop_
_atom_site_label
_atom_site_fract_x
_atom_site_fract_y
_atom_site_fract_z
Mg1 0.000 0.500 0.250
Mg2 0.000 0.500 0.750
Mg3 0.500 0.000 0.250
Mg4 0.500 0.000 0.750
Zr1 0.000 0.000 0.093
Zr2 0.000 0.000 0.907
Zr3 0.500 0.500 0.407
Zr4 0.500 0.500 0.593
Te1 0.000 0.000 0.500
Te2 0.500 0.500 0.000
```

As for the density of states at the Fermi level: 6.586 states/eV/cell. The calculation puts the raw formation energy at 0.039 eV per atom. The calculation puts the uncorrected energy at -46.466 eV/cell.

Entry 9:
A plane-wave DFT calculation with GGA-PBE was carried out for crystalline Mg2ZrTe at its relaxed geometry.

Cell and atoms, written as CIF:
```
data_Mg2ZrTe
_symmetry_space_group_name_H-M 'P 1'
_symmetry_Int_Tables_number 1
_cell_length_a 3.755
_cell_length_b 3.755
_cell_length_c 6.421
_cell_angle_alpha 90.00
_cell_angle_beta 90.00
_cell_angle_gamma 90.00
loop_
_symmetry_equiv_pos_as_xyz
'x,y,z'
loop_
_atom_site_label
_atom_site_fract_x
_atom_site_fract_y
_atom_site_fract_z
Mg1 0.000 0.000 0.000
Mg2 0.500 0.500 0.238
Zr1 0.500 0.500 0.740
Te1 0.000 0.000 0.516
```

As for the density of states at the Fermi level: 1.308 states/eV/cell. The calculation puts the raw formation energy at -0.358 eV per atom. The calculation puts the uncorrected energy at -16.310 eV/cell.

Entry 10:
A plane-wave DFT calculation with GGA-PBE was carried out for crystalline Mg3ZrTe at its relaxed geometry.

Cell and atoms, written as CIF:
```
data_Mg3ZrTe
_symmetry_space_group_name_H-M 'P 1'
_symmetry_Int_Tables_number 1
_cell_length_a 5.337
_cell_length_b 5.337
_cell_length_c 5.337
_cell_angle_alpha 90.00
_cell_angle_beta 90.00
_cell_angle_gamma 90.00
loop_
_symmetry_equiv_pos_as_xyz
'x,y,z'
loop_
_atom_site_label
_atom_site_fract_x
_atom_site_fract_y
_atom_site_fract_z
Mg1 0.000 0.000 0.500
Mg2 0.000 0.500 0.000
Mg3 0.500 0.000 0.000
Zr1 0.500 0.500 0.500
Te1 0.000 0.000 0.000
```

As for the density of states at the Fermi level: 9.190 states/eV/cell. The calculation puts the raw formation energy at 0.713 eV per atom. The calculation puts the uncorrected energy at -12.907 eV/cell.